Rb2CrOsF6: relaxed, PBE+U.

abc: 6.0274 6.0274 6.0274
angles: 118.86 118.86 91.98
Closest atoms and distances in Å follow each position.
Fractional positions:
Rb: 0.2500 0.7500 0.5000  12 F 3.01-3.07
Rb: 0.7500 0.2500 0.5000  12 F 3.01-3.07
Cr: 0.0000 0.0000 0.0000  6 F 2.02-2.18
Os: 0.5000 0.5000 0.0000  6 F 2.15-2.17
F: 0.2410 0.2410 0.0000  1 Cr 2.02, 1 Os 2.17
F: 0.2518 0.2518 0.5036  1 Os 2.15, 1 Cr 2.18
F: 0.2518 0.7482 0.0000  1 Os 2.15, 1 Cr 2.18
F: 0.7482 0.2518 0.0000  1 Os 2.15, 1 Cr 2.18
F: 0.7482 0.7482 0.4964  1 Os 2.15, 1 Cr 2.18
F: 0.7590 0.7590 0.0000  1 Cr 2.02, 1 Os 2.17

Output
VASP energy: -5.174 eV per atom
DOS at the Fermi energy: 3.01 states/eV per cell